Density functional theory data (GGA-PBE) for a relaxed structure of La3Sm12Sc.

Final energy in eV/atom: -4.83
D(E_F) in states/eV/atom: 1.65

Lattice parameters (Å, degrees): 5.135 5.135 20.498 90.00 90.00 90.00
Fractional positions:
Sm: 0.500 0.500 0.000
Sm: 0.000 0.500 0.373
Sm: 0.500 0.000 0.119
Sm: 0.500 0.500 0.245
Sm: 0.000 0.500 0.881
Sm: 0.500 0.000 0.373
Sm: 0.500 0.500 0.755
Sm: 0.500 0.000 0.881
Sm: 0.500 0.500 0.500
Sm: 0.500 0.000 0.627
Sm: 0.000 0.500 0.627
Sm: 0.000 0.500 0.119
La: 0.000 0.000 0.247
La: 0.000 0.000 0.753
La: 0.000 0.000 0.500
Sc: 0.000 0.000 0.000

Density functional theory data (GGA-PBE) for a relaxed structure of La5Sm8Sc.

Final energy in eV/atom: -4.74
D(E_F) in states/eV/atom: 1.56

Lattice parameters (Å, degrees): 8.959 8.986 8.960 86.20 122.35 122.00
Fractional positions:
Sm: 0.895 0.576 0.576
Sm: 0.509 0.944 0.940
Sm: 0.996 0.056 0.564
Sm: 0.597 0.376 0.892
Sm: 0.120 0.681 0.038
Sm: 0.001 0.424 0.319
Sm: 0.516 0.624 0.221
Sm: 0.357 0.319 0.438
La: 0.374 0.168 0.112
La: 0.965 0.236 0.935
La: 0.504 0.000 0.504
La: 0.699 0.764 0.729
La: 0.944 0.832 0.206
Sc: 0.275 0.500 0.775

Density functional theory data (GGA-PBE) for a relaxed structure of LaSm6Sc2.

D(E_F) in states/eV/atom: 1.92
Energy above the most stable polymorph in this dataset in eV/atom: 0.396

Lattice parameters (Å, degrees): 6.204 6.204 9.153 109.81 109.81 90.00
Fractional positions:
Sm: 0.750 0.250 0.500
Sm: 0.088 0.088 0.821
Sm: 0.250 0.750 0.500
Sm: 0.733 0.733 0.821
Sm: 0.267 0.912 0.179
Sm: 0.912 0.267 0.179
La: 0.500 0.500 0.000
Sc: 0.706 0.706 0.411
Sc: 0.294 0.294 0.589

Density functional theory data (GGA-PBE) for a relaxed structure of La2Sm8Sc.

D(E_F) in states/eV/atom: 1.63
Energy above the most stable polymorph in this dataset in eV/atom: 0.000

Lattice parameters (Å, degrees): 5.127 8.082 9.561 104.69 105.55 90.00
Fractional positions:
La: 0.226 0.637 0.452
La: 0.774 0.363 0.548
Sm: 0.679 0.908 0.358
Sm: 0.133 0.174 0.267
Sm: 0.956 0.269 0.913
Sm: 0.867 0.826 0.733
Sm: 0.321 0.092 0.642
Sm: 0.044 0.731 0.087
Sm: 0.588 0.446 0.177
Sm: 0.412 0.554 0.823
Sc: 0.500 0.000 0.000